[1]
# NbFePdF2 GGA+U optimized geometry
data_NbFePdF2
_chemical_formula_sum 'Nb1 Fe1 Pd1 F2'
_space_group_name_H-M_alt 'P 4/m m m'
_space_group_IT_number 123
_space_group_name_Hall '-P 4 2'
_cell_length_a 4.0025
_cell_length_b 4.0025
_cell_length_c 5.7843
_cell_angle_alpha 90.00
_cell_angle_beta 90.00
_cell_angle_gamma 90.00
loop_
_atom_site_label
_atom_site_fract_x
_atom_site_fract_y
_atom_site_fract_z
Nb1 0.0000 0.0000 0.0000
Fe1 0.0000 0.0000 0.5000
Pd1 0.5000 0.5000 0.5000
F1 0.0000 0.5000 0.0000
# - Calculated density: 5254 kg/m³
# - D(E_F): 3.14 states/eV per cell
# - Size of the total moment: 2.03 μB per cell
# - Total DFT energy (no corrections): -28.11 eV per cell


[2]
# Nb2FeRuF GGA+U optimized geometry
data_Nb2FeRuF
_chemical_formula_sum 'Nb2 Fe1 Ru1 F1'
_space_group_name_H-M_alt 'P 4/m m m'
_space_group_IT_number 123
_space_group_name_Hall '-P 4 2'
_cell_length_a 4.7806
_cell_length_b 4.7806
_cell_length_c 4.9420
_cell_angle_alpha 90.00
_cell_angle_beta 90.00
_cell_angle_gamma 90.00
loop_
_atom_site_label
_atom_site_fract_x
_atom_site_fract_y
_atom_site_fract_z
Nb1 0.0000 0.5000 0.0000
Fe1 0.0000 0.0000 0.5000
Ru1 0.0000 0.0000 0.0000
F1 0.5000 0.5000 0.5000
# - Calculated density: 5318 kg/m³
# - D(E_F): 4.17 states/eV per cell
# - Size of the total moment: 2.26 μB per cell
# - Total DFT energy (no corrections): -32.42 eV per cell


[3]
# Nd2FeF8 GGA+U optimized geometry
data_Nd2FeF8
_chemical_formula_sum 'Nd4 Fe2 F16'
_space_group_name_H-M_alt 'C 1 2/m 1'
_space_group_IT_number 12
_space_group_name_Hall '-C 2y'
_cell_length_a 15.2209
_cell_length_b 3.7899
_cell_length_c 5.3730
_cell_angle_alpha 90.00
_cell_angle_beta 110.17
_cell_angle_gamma 90.00
loop_
_atom_site_label
_atom_site_fract_x
_atom_site_fract_y
_atom_site_fract_z
Nd1 0.1707 0.0000 0.1630
Fe1 0.0000 0.5000 0.5000
F1 0.0411 0.0000 0.7551
F2 0.0905 0.5000 0.2882
F3 0.1776 0.5000 0.8956
F4 0.2252 0.0000 0.6257
# - Calculated density: 5666 kg/m³
# - D(E_F): 0.00 states/eV per cell
# - Size of the total moment: 8.00 μB per cell
# - Total DFT energy (no corrections): -139.12 eV per cell


[4]
# FeNiF4 GGA+U optimized geometry
data_FeNiF4
_chemical_formula_sum 'Fe2 Ni2 F8'
_space_group_name_H-M_alt 'P n c 2'
_space_group_IT_number 30
_space_group_name_Hall 'P 2 -2bc'
_cell_length_a 5.3285
_cell_length_b 4.7294
_cell_length_c 5.7030
_cell_angle_alpha 90.00
_cell_angle_beta 90.00
_cell_angle_gamma 90.00
loop_
_atom_site_label
_atom_site_fract_x
_atom_site_fract_y
_atom_site_fract_z
Fe1 0.0000 0.0000 0.0000
Ni1 0.5000 0.0000 0.3040
F1 0.1751 0.2230 0.2760
F2 0.3394 0.7372 0.5415
# - Calculated density: 4403 kg/m³
# - D(E_F): 0.00 states/eV per cell
# - Size of the total moment: 12.00 μB per cell
# - Total DFT energy (no corrections): -59.03 eV per cell


[5]
# Fe3NiF6 GGA+U optimized geometry
data_Fe3NiF6
_chemical_formula_sum 'Fe3 Ni1 F6'
_space_group_name_H-M_alt 'P -1'
_space_group_IT_number 2
_space_group_name_Hall '-P 1'
_cell_length_a 5.0672
_cell_length_b 5.3533
_cell_length_c 5.9247
_cell_angle_alpha 67.37
_cell_angle_beta 89.55
_cell_angle_gamma 81.92
loop_
_atom_site_label
_atom_site_fract_x
_atom_site_fract_y
_atom_site_fract_z
Fe1 0.0000 0.0000 0.0000
Fe2 0.0000 0.5000 0.5000
Fe3 0.5000 0.0000 0.5000
Ni1 0.0000 0.5000 0.0000
F1 0.2241 0.8009 0.4210
F2 0.2599 0.3626 0.2707
F3 0.2690 0.1239 0.7642
# - Calculated density: 3852 kg/m³
# - D(E_F): 0.78 states/eV per cell
# - Size of the total moment: 12.02 μB per cell
# - Total DFT energy (no corrections): -48.89 eV per cell


[6]
# FeNi2F2 GGA+U optimized geometry
data_FeNi2F2
_chemical_formula_sum 'Fe2 Ni4 F4'
_space_group_name_H-M_alt 'I 4/m m m'
_space_group_IT_number 139
_space_group_name_Hall '-I 4 2'
_cell_length_a 3.0369
_cell_length_b 3.0369
_cell_length_c 16.2101
_cell_angle_alpha 90.00
_cell_angle_beta 90.00
_cell_angle_gamma 90.00
loop_
_atom_site_label
_atom_site_fract_x
_atom_site_fract_y
_atom_site_fract_z
Fe1 0.0000 0.0000 0.0000
Ni1 0.0000 0.5000 0.2500
F1 0.0000 0.0000 0.4292
# - Calculated density: 4692 kg/m³
# - D(E_F): 5.06 states/eV per cell
# - Size of the total moment: 4.53 μB per cell
# - Total DFT energy (no corrections): -30.47 eV per cell


[7]
# FeNiF2 GGA+U optimized geometry
data_FeNiF2
_chemical_formula_sum 'Fe4 Ni4 F8'
_space_group_name_H-M_alt 'F m -3 m'
_space_group_IT_number 225
_space_group_name_Hall '-F 4 2 3'
_cell_length_a 5.6527
_cell_length_b 5.6527
_cell_length_c 5.6527
_cell_angle_alpha 90.00
_cell_angle_beta 90.00
_cell_angle_gamma 90.00
loop_
_atom_site_label
_atom_site_fract_x
_atom_site_fract_y
_atom_site_fract_z
Fe1 0.0000 0.0000 0.0000
Ni1 0.0000 0.0000 0.5000
F1 0.2500 0.2500 0.2500
# - Calculated density: 5609 kg/m³
# - D(E_F): 13.48 states/eV per cell
# - Size of the total moment: 18.16 μB per cell
# - Total DFT energy (no corrections): -58.32 eV per cell


[8]
# FeNi2F2 GGA+U optimized geometry
data_FeNi2F2
_chemical_formula_sum 'Fe2 Ni4 F4'
_space_group_name_H-M_alt 'P 4/m b m'
_space_group_IT_number 127
_space_group_name_Hall '-P 4 2ab'
_cell_length_a 6.6215
_cell_length_b 6.6215
_cell_length_c 2.7709
_cell_angle_alpha 90.00
_cell_angle_beta 90.00
_cell_angle_gamma 90.00
loop_
_atom_site_label
_atom_site_fract_x
_atom_site_fract_y
_atom_site_fract_z
Fe1 0.0000 0.0000 0.0000
Ni1 0.1710 0.3290 0.5000
F1 0.1358 0.6358 0.0000
# - Calculated density: 5774 kg/m³
# - D(E_F): 3.18 states/eV per cell
# - Size of the total moment: 10.70 μB per cell
# - Total DFT energy (no corrections): -30.90 eV per cell


[9]
# FeNiF2 GGA+U optimized geometry
data_FeNiF2
_chemical_formula_sum 'Fe3 Ni3 F6'
_space_group_name_H-M_alt 'R -3 m'
_space_group_IT_number 166
_space_group_name_Hall '-R 3 2"'
_cell_length_a 3.0081
_cell_length_b 3.0081
_cell_length_c 20.5729
_cell_angle_alpha 90.00
_cell_angle_beta 90.00
_cell_angle_gamma 120.00
loop_
_atom_site_label
_atom_site_fract_x
_atom_site_fract_y
_atom_site_fract_z
Fe1 0.0000 0.0000 0.0000
Ni1 0.0000 0.0000 0.5000
F1 0.0000 0.0000 0.3926
# - Calculated density: 4713 kg/m³
# - D(E_F): 6.77 states/eV per cell
# - Size of the total moment: 13.58 μB per cell
# - Total DFT energy (no corrections): -48.12 eV per cell


[10]
# Fe2NiF8 GGA+U optimized geometry
data_Fe2NiF8
_chemical_formula_sum 'Fe4 Ni2 F16'
_space_group_name_H-M_alt 'C 1 2/m 1'
_space_group_IT_number 12
_space_group_name_Hall '-C 2y'
_cell_length_a 8.2493
_cell_length_b 6.4462
_cell_length_c 5.0165
_cell_angle_alpha 90.00
_cell_angle_beta 104.16
_cell_angle_gamma 90.00
loop_
_atom_site_label
_atom_site_fract_x
_atom_site_fract_y
_atom_site_fract_z
Fe1 0.1821 0.0000 0.4398
Ni1 0.0000 0.5000 0.0000
F1 0.0642 0.0000 0.7414
F2 0.1419 0.3076 0.3026
F3 0.1768 0.5000 0.8045
# - Calculated density: 4139 kg/m³
# - D(E_F): 0.00 states/eV per cell
# - Size of the total moment: 23.87 μB per cell
# - Total DFT energy (no corrections): -107.85 eV per cell


[11]
# FeNi4F2 GGA+U optimized geometry
data_FeNi4F2
_chemical_formula_sum 'Fe2 Ni8 F4'
_space_group_name_H-M_alt 'I 4/m m m'
_space_group_IT_number 139
_space_group_name_Hall '-I 4 2'
_cell_length_a 4.5799
_cell_length_b 4.5799
_cell_length_c 10.9424
_cell_angle_alpha 90.00
_cell_angle_beta 90.00
_cell_angle_gamma 90.00
loop_
_atom_site_label
_atom_site_fract_x
_atom_site_fract_y
_atom_site_fract_z
Fe1 0.0000 0.0000 0.0000
Ni1 0.0000 0.0000 0.2163
Ni2 0.0000 0.5000 0.0000
F1 0.0000 0.0000 0.3906
# - Calculated density: 4755 kg/m³
# - D(E_F): 1.86 states/eV per cell
# - Size of the total moment: 14.00 μB per cell
# - Total DFT energy (no corrections): -32.76 eV per cell


[12]
# FeNiF2 GGA+U optimized geometry
data_FeNiF2
_chemical_formula_sum 'Fe3 Ni3 F6'
_space_group_name_H-M_alt 'R -3 m'
_space_group_IT_number 166
_space_group_name_Hall '-R 3 2"'
_cell_length_a 3.0059
_cell_length_b 3.0059
_cell_length_c 22.7421
_cell_angle_alpha 90.00
_cell_angle_beta 90.00
_cell_angle_gamma 120.00
loop_
_atom_site_label
_atom_site_fract_x
_atom_site_fract_y
_atom_site_fract_z
Fe1 0.0000 0.0000 0.0000
Ni1 0.0000 0.0000 0.5000
F1 0.0000 0.0000 0.1202
# - Calculated density: 4270 kg/m³
# - D(E_F): 7.59 states/eV per cell
# - Size of the total moment: 15.25 μB per cell
# - Total DFT energy (no corrections): -47.81 eV per cell